A plane-wave DFT calculation with PBE was carried out for a relaxed AuBrO crystal. Values from VASP.

## Properties
M_tot = 0.0 μB per formula unit
energy above the lowest structure with this stoichiometry = 7.4 kJ per mole of atoms
formation energy without anion corrections = 0.16 eV per atom
energy = -3.14 eV per atom

Cell and atoms, written as Quantum ESPRESSO input:
```
&SYSTEM
  ibrav = 0, nat = 6, ntyp = 3
/
ATOMIC_SPECIES
Br 79.90 Br.upf
Au 196.97 Au.upf
O 16.00 O.upf
CELL_PARAMETERS angstrom
5.8901 0.0000 0.0471
0.0000 3.2422 0.0000
-3.7155 0.0000 7.9437
ATOMIC_POSITIONS crystal
Br 0.7349 0.0000 0.9880
Br 0.7349 0.5000 0.4880
Au 0.0770 0.5000 0.1297
Au 0.0770 0.0000 0.6297
O 0.3126 0.5000 0.7247
O 0.3126 0.0000 0.2247
```